# CaCoReO6

A geometry-optimized CaCoReO6 structure (GGA+U, Alexandria).

```
data_CaCoReO6
_symmetry_space_group_name_H-M 'P 3 1 2'
_symmetry_Int_Tables_number 149
_symmetry_space_group_name_Hall 'P 3 2'
_cell_length_a 5.0540
_cell_length_b 5.0540
_cell_length_c 5.0679
_cell_angle_alpha 90.00
_cell_angle_beta 90.00
_cell_angle_gamma 120.00
loop_
_atom_site_label
_atom_site_type_symbol
_atom_site_fract_x
_atom_site_fract_y
_atom_site_fract_z
Ca1 Ca 0.0000 0.0000 0.0000
Co1 Co 0.6667 0.3333 0.5000
Re1 Re 0.3333 0.6667 0.5000
O1 O 0.0028 0.3763 0.7086
```

**Total DFT energy (no corrections)**: -7.234 eV/atom